# 1
# Re3Sb (PBE, optimized geometry)
# - Size of the total moment: 0.006 μB/f.u.
# - Energy above the most stable polymorph in this dataset: 0.217 eV per atom
# - Volume: 129.1 Å³ per cell
# - Calculated total energy: -9.732 eV per atom
# - E_form (uncorrected): 0.6343 eV per atom
data_Re3Sb
_cell_length_a 3.948
_cell_length_b 3.948
_cell_length_c 8.284
_cell_angle_alpha 90.00
_cell_angle_beta 90.00
_cell_angle_gamma 90.00
_symmetry_space_group_name_H-M 'I 4/m m m'
_symmetry_Int_Tables_number 139
_symmetry_space_group_name_Hall '-I 4 2'
loop_
_atom_site_label
_atom_site_fract_x
_atom_site_fract_y
_atom_site_fract_z
Re1 0.000 0.000 0.000
Re2 0.000 0.500 0.250
Sb1 0.000 0.000 0.500

=====

# 2
# K2LaZrTe4 (PBE, optimized geometry)
# - Size of the total moment: 0.065 μB/f.u.
# - Volume: 285.2 Å³ per cell
# - Calculated total energy: -4.720 eV per atom
# - E_form (uncorrected): -1.1900 eV per atom
data_K2LaZrTe4
_cell_length_a 7.759
_cell_length_b 4.411
_cell_length_c 8.701
_cell_angle_alpha 90.00
_cell_angle_beta 106.73
_cell_angle_gamma 90.00
_symmetry_space_group_name_H-M 'P 1 2/m 1'
_symmetry_Int_Tables_number 10
loop_
_symmetry_equiv_pos_as_xyz
'x,y,z'
'-x,-y,-z'
'-x,y,-z'
'x,-y,z'
loop_
_atom_site_label
_atom_site_fract_x
_atom_site_fract_y
_atom_site_fract_z
K1 0.000 0.000 0.000
K2 0.500 0.500 0.000
La1 0.000 0.500 0.500
Zr1 0.500 0.000 0.500
Te1 0.260 0.000 0.715
Te2 0.285 0.500 0.295

=====

# 3
# Ti3Te4Br2 (PBE, optimized geometry)
# - Size of the total moment: 0.000 μB/f.u.
# - Volume: 261.6 Å³ per cell
# - Calculated total energy: -5.140 eV per atom
# - E_form (uncorrected): -0.7405 eV per atom
data_Ti3Te4Br2
_cell_length_a 3.6599
_cell_length_b 3.6599
_cell_length_c 22.5494
_cell_angle_alpha 90.00
_cell_angle_beta 90.00
_cell_angle_gamma 120.00
_symmetry_space_group_name_H-M 'P 3 m 1'
_symmetry_Int_Tables_number 156
loop_
_symmetry_equiv_pos_as_xyz
'x,y,z'
'-y,x-y,z'
'-x+y,-x,z'
'-y,-x,z'
'-x+y,y,z'
'x,x-y,z'
loop_
_atom_site_label
_atom_site_fract_x
_atom_site_fract_y
_atom_site_fract_z
Ti1 0.0000 0.0000 0.0000
Ti2 0.0000 0.0000 0.3472
Ti3 0.6667 0.3333 0.6737
Te1 0.0000 0.0000 0.5936
Te2 0.0000 0.0000 0.7543
Te3 0.6667 0.3333 0.2665
Te4 0.6667 0.3333 0.4273
Br1 0.6667 0.3333 0.0727
Br2 0.6667 0.3333 0.9274

=====

# 4
# Pm2Pr3Y6Pu (PBE, optimized geometry)
# - Formation enthalpy at 0 K: 0.52 eV per formula unit
# - Size of the total moment: 6.499 μB/f.u.
# - Volume: 792.1 Å³ per cell
# - Calculated total energy: -6.370 eV per atom
data_Pm2Pr3Y6Pu
_cell_length_a 6.261
_cell_length_b 10.851
_cell_length_c 11.846
_cell_angle_alpha 90.00
_cell_angle_beta 100.16
_cell_angle_gamma 90.00
_symmetry_space_group_name_H-M 'C 1 2/m 1'
_symmetry_Int_Tables_number 12
loop_
_symmetry_equiv_pos_as_xyz
'x,y,z'
'-x,-y,-z'
'-x,y,-z'
'x,-y,z'
'x+1/2,y+1/2,z'
'-x+1/2,-y+1/2,-z'
'-x+1/2,y+1/2,-z'
'x+1/2,-y+1/2,z'
loop_
_atom_site_label
_atom_site_fract_x
_atom_site_fract_y
_atom_site_fract_z
Pm1 0.000 0.167 0.000
Pr1 0.000 0.000 0.500
Pr2 0.000 0.333 0.500
Y1 0.246 0.336 0.246
Y2 0.247 0.500 0.754
Pu1 0.000 0.500 0.000

=====

# 5
# PuZr2ScBi4 (PBE, optimized geometry)
# - Formation enthalpy at 0 K: -2.94 eV per formula unit
# - Size of the total moment: 5.785 μB/f.u.
# - Volume: 228.4 Å³ per cell
# - Calculated total energy: -7.028 eV per atom
data_PuZr2ScBi4
_cell_length_a 7.444
_cell_length_b 4.297
_cell_length_c 7.553
_cell_angle_alpha 90.00
_cell_angle_beta 109.02
_cell_angle_gamma 90.00
_symmetry_space_group_name_H-M 'P 1 2/m 1'
_symmetry_Int_Tables_number 10
loop_
_symmetry_equiv_pos_as_xyz
'x,y,z'
'-x,-y,-z'
'-x,y,-z'
'x,-y,z'
loop_
_atom_site_label
_atom_site_fract_x
_atom_site_fract_y
_atom_site_fract_z
Pu1 0.000 0.000 0.000
Zr1 0.000 0.500 0.500
Zr2 0.500 0.000 0.500
Sc1 0.500 0.500 0.000
Bi1 0.256 0.000 0.746
Bi2 0.261 0.500 0.260

=====

# 6
# PuMgZr2N4 (PBE, optimized geometry)
# - Size of the total moment: 4.557 μB/f.u.
# - Volume: 101.1 Å³ per cell
# - Calculated total energy: -9.679 eV per atom
# - E_form (uncorrected): -1.3882 eV per atom
data_PuMgZr2N4
_cell_length_a 5.646
_cell_length_b 3.300
_cell_length_c 5.740
_cell_angle_alpha 90.00
_cell_angle_beta 108.98
_cell_angle_gamma 90.00
_symmetry_space_group_name_H-M 'P 1 2/m 1'
_symmetry_Int_Tables_number 10
loop_
_symmetry_equiv_pos_as_xyz
'x,y,z'
'-x,-y,-z'
'-x,y,-z'
'x,-y,z'
loop_
_atom_site_label
_atom_site_fract_x
_atom_site_fract_y
_atom_site_fract_z
Pu1 0.000 0.000 0.000
Mg1 0.500 0.500 0.000
Zr1 0.000 0.500 0.500
Zr2 0.500 0.000 0.500
N1 0.248 0.000 0.741
N2 0.257 0.500 0.259